{
  "formula": "CrInBi2O6",
  "functional": "PBE with a Hubbard U",
  "state": "relaxed",
  "cell": [[5.5384, 0.0000, 0.0000], [0.0000, 5.9290, 0.0000], [-5.5263, 0.0000, 8.0288]],
  "species": ["Cr", "Cr", "In", "In", "Bi", "Bi", "Bi", "Bi", "O", "O", "O", "O", "O", "O", "O", "O", "O", "O", "O", "O"],
  "fractional_positions": [[0.0000, 0.0000, 0.0000], [0.0000, 0.5000, 0.5000], [0.5000, 0.0000, 0.5000], [0.5000, 0.5000, 0.0000], [0.2713, 0.0523, 0.7603], [0.2713, 0.4477, 0.2603], [0.7287, 0.5523, 0.7397], [0.7287, 0.9477, 0.2397], [0.1268, 0.0439, 0.2396], [0.1268, 0.4561, 0.7396], [0.2444, 0.7085, 0.0629], [0.2444, 0.7915, 0.5629], [0.3536, 0.1767, 0.0409], [0.3536, 0.3233, 0.5409], [0.6464, 0.6767, 0.4591], [0.6464, 0.8233, 0.9591], [0.7556, 0.2085, 0.4371], [0.7556, 0.2915, 0.9371], [0.8732, 0.5439, 0.2604], [0.8732, 0.9561, 0.7604]],
  "rho_g_cm3": 8.58,
  "crystal_system": "monoclinic",
  "vol_a3_per_atom": 13.182,
  "energy_ev_per_atom": -6.239
}